Record 1
{
  "formula": "LiFeGeBi",
  "functional": "GGA-PBE",
  "state": "optimized geometry",
  "spacegroup": "F-43m, No. 216",
  "relative_energy_ev_per_atom": 0.213,
  "mass_density_g_cm3": 7.35,
  "lattice": [[0.000, 3.388, 3.388], [3.388, 0.000, 3.388], [3.388, 3.388, 0.000]],
  "species": ["Li", "Fe", "Ge", "Bi"],
  "frac_coords": [[0.000, 0.000, 0.000], [0.750, 0.750, 0.750], [0.500, 0.500, 0.500], [0.250, 0.250, 0.250]]
}

Record 2
{
  "formula": "HoErCo2C2N2",
  "functional": "GGA-PBE",
  "state": "optimized geometry",
  "spacegroup": "P4mm, No. 99",
  "total_energy_ev_per_atom": -8.0378,
  "mass_density_g_cm3": 9.85,
  "lattice": [[3.421, 0.000, 0.000], [0.000, 3.421, 0.000], [0.000, 0.000, 7.234]],
  "species": ["Ho", "Er", "Co", "Co", "C", "C", "N", "N"],
  "frac_coords": [[0.000, 0.000, 0.000], [0.500, 0.500, 0.349], [0.000, 0.500, 0.674], [0.500, 0.000, 0.674], [0.000, 0.000, 0.523], [0.500, 0.500, 0.827], [0.000, 0.000, 0.324], [0.500, 0.500, 0.026]]
}

Record 3
{
  "formula": "GdTmBe",
  "functional": "GGA-PBE",
  "state": "optimized geometry",
  "spacegroup": "F-43m, No. 216",
  "total_energy_ev_per_atom": -3.3558,
  "mass_density_g_cm3": 7.50,
  "lattice": [[0.000, 3.335, 3.335], [3.335, 0.000, 3.335], [3.335, 3.335, 0.000]],
  "species": ["Gd", "Tm", "Be"],
  "frac_coords": [[0.000, 0.000, 0.000], [0.750, 0.750, 0.750], [0.500, 0.500, 0.500]]
}

Record 4
{
  "formula": "BeNiAgSb",
  "functional": "GGA-PBE",
  "state": "optimized geometry",
  "spacegroup": "F-43m, No. 216",
  "relative_energy_ev_per_atom": 0.000,
  "mass_density_g_cm3": 8.08,
  "lattice": [[0.000, 3.127, 3.127], [3.127, 0.000, 3.127], [3.127, 3.127, 0.000]],
  "species": ["Be", "Ni", "Ag", "Sb"],
  "frac_coords": [[0.000, 0.000, 0.000], [0.500, 0.500, 0.500], [0.750, 0.750, 0.750], [0.250, 0.250, 0.250]]
}

Record 5
{
  "formula": "LiPmY",
  "functional": "GGA-PBE",
  "state": "optimized geometry",
  "spacegroup": "F-43m, No. 216",
  "relative_energy_ev_per_atom": 0.000,
  "mass_density_g_cm3": 4.29,
  "lattice": [[0.000, 3.598, 3.598], [3.598, 0.000, 3.598], [3.598, 3.598, 0.000]],
  "species": ["Li", "Pm", "Y"],
  "frac_coords": [[0.000, 0.000, 0.000], [0.750, 0.750, 0.750], [0.250, 0.250, 0.250]]
}

Record 6
{
  "formula": "TbInPt",
  "functional": "GGA-PBE",
  "state": "optimized geometry",
  "spacegroup": "P-62m, No. 189",
  "total_energy_ev_per_atom": -4.9174,
  "mass_density_g_cm3": 12.03,
  "lattice": [[8.197, 0.000, 0.000], [-4.099, 7.099, 0.000], [0.000, 0.000, 3.336]],
  "species": ["Tb", "Tb", "Tb", "In", "In", "In", "Pt", "Pt", "Pt"],
  "frac_coords": [[0.000, 0.299, 0.000], [0.299, 0.000, 0.000], [0.701, 0.701, 0.000], [0.000, 0.000, 0.500], [0.333, 0.667, 0.000], [0.667, 0.333, 0.000], [0.000, 0.639, 0.500], [0.361, 0.361, 0.500], [0.639, 0.000, 0.500]]
}